1.
A relaxed structure of SbTe2ClF. Source: the Alexandria database, functional GGA-PBE.

Structure (POSCAR):
```
SbTe2ClF
1.0
4.7568 0.0000 0.0000
0.0000 4.7568 0.0000
0.0000 0.0000 5.7197
Sb Te Cl F
1 2 1 1
Direct
0.0000 0.0000 0.0000
0.0000 0.5000 0.5000
0.5000 0.0000 0.5000
0.5000 0.5000 0.0000
0.0000 0.0000 0.5000
```

## Properties
**Space-group type**: P4/mmm
**ΔE_f (raw)**: 0.296 eV/f.u.
**Energy above the lowest structure with this stoichiometry**: 0 meV per atom

2.
A relaxed structure of YMnZn2. Source: the Alexandria database, functional GGA-PBE.

Structure (POSCAR):
```
YMnZn2
1.0
1.6607 0.9588 8.3860
-1.6607 0.9588 8.3860
0.0000 -1.9176 8.3860
Y Mn Zn
1 1 2
Direct
0.0000 0.0000 0.0000
0.5000 0.5000 0.5000
0.2387 0.2387 0.2387
0.7613 0.7613 0.7613
```

## Properties
**Space-group type**: R-3m
**DFT formation energy**: 0.1770 eV per atom

3.
A relaxed structure of AlIn2Hg4. Source: the Alexandria database, functional GGA-PBE.

Structure (POSCAR):
```
AlIn2Hg4
1.0
-2.6413 2.6413 7.5243
2.6413 -2.6413 7.5243
2.6413 2.6413 -7.5243
Al In Hg
1 2 4
Direct
0.0000 0.0000 0.0000
0.3766 0.3766 0.0000
0.6234 0.6234 0.0000
0.0000 0.5000 0.5000
0.1830 0.1830 0.0000
0.5000 0.0000 0.5000
0.8170 0.8170 0.0000
```

## Properties
**Space-group type**: I4/mmm
**DFT formation energy**: 0.1299 eV per atom

4.
A relaxed structure of KRbSn2Cl6. Source: the Alexandria database, functional GGA-PBE.

Structure (POSCAR):
```
KRbSn2Cl6
1.0
8.3092 -5.2330 0.0000
8.3092 5.2330 0.0000
-5.1795 0.0000 7.9980
K Rb Sn Cl
2 2 4 12
Direct
0.1895 0.8105 0.7500
0.8105 0.1895 0.2500
0.3334 0.6666 0.2500
0.6666 0.3334 0.7500
0.2112 0.2628 0.1955
0.2628 0.2112 0.6955
0.7372 0.7888 0.3045
0.7888 0.7372 0.8045
0.0574 0.1794 0.7663
0.0914 0.5930 0.8435
0.1794 0.0574 0.2663
0.2921 0.4696 0.4898
0.4070 0.9086 0.6565
0.4696 0.2921 0.9898
0.5304 0.7079 0.0102
0.5930 0.0914 0.3435
0.7079 0.5304 0.5102
0.8206 0.9426 0.7337
0.9086 0.4070 0.1565
0.9426 0.8206 0.2337
```

## Properties
**Space-group type**: C2/c
**ΔE_f (raw)**: -13.942 eV/f.u.

5.
A relaxed structure of Pr12In5Ga2. Source: the Alexandria database, functional GGA-PBE.

Structure (POSCAR):
```
Pr12In5Ga2
1.0
9.0668 -3.5775 0.0000
9.0668 3.5775 0.0000
-0.4525 0.0000 9.4089
Pr In Ga
12 5 2
Direct
0.0154 0.0154 0.3024
0.0861 0.5921 0.0434
0.1017 0.5891 0.4736
0.4079 0.9139 0.9566
0.4109 0.8983 0.5264
0.4661 0.4661 0.8134
0.5339 0.5339 0.1866
0.5891 0.1017 0.4736
0.5921 0.0861 0.0434
0.8983 0.4109 0.5264
0.9139 0.4079 0.9566
0.9846 0.9846 0.6976
0.2124 0.2124 0.2527
0.2766 0.2766 0.7508
0.5000 0.5000 0.5000
0.7234 0.7234 0.2492
0.7876 0.7876 0.7473
0.1705 0.8295 0.0000
0.8295 0.1705 0.0000
```

## Properties
**Space-group type**: C2/m
**DFT formation energy**: -0.2700 eV per atom

6.
A relaxed structure of LiCd4Hg2. Source: the Alexandria database, functional GGA-PBE.

Structure (POSCAR):
```
LiCd4Hg2
1.0
-2.4836 2.4836 7.3461
2.4836 -2.4836 7.3461
2.4836 2.4836 -7.3461
Li Cd Hg
1 4 2
Direct
0.0000 0.0000 0.0000
0.0000 0.5000 0.5000
0.1772 0.1772 0.0000
0.5000 0.0000 0.5000
0.8228 0.8228 0.0000
0.3691 0.3691 0.0000
0.6309 0.6309 0.0000
```

## Properties
**Space-group type**: I4/mmm
**DFT formation energy**: 0.1392 eV per atom
**Energy above the lowest structure with this stoichiometry**: 245 meV per atom

7.
A relaxed structure of KLi2Np3Se6. Source: the Alexandria database, functional GGA-PBE.

Structure (POSCAR):
```
KLi2Np3Se6
1.0
9.3950 -2.0821 0.0000
9.3950 2.0821 0.0000
-2.1657 0.0000 8.1406
K Li Np Se
1 2 3 6
Direct
0.0000 0.0000 0.0000
0.3153 0.3153 0.6525
0.6847 0.6847 0.3475
0.0000 0.0000 0.5000
0.3314 0.3314 0.1729
0.6686 0.6686 0.8271
0.1640 0.1640 0.5766
0.1746 0.1746 0.0775
0.4907 0.4907 0.2683
0.5093 0.5093 0.7317
0.8254 0.8254 0.9225
0.8360 0.8360 0.4234
```

## Properties
**Space-group type**: C2/m
**ΔE_f (raw)**: -14.142 eV/f.u.

8.
A relaxed structure of PmH8Ir2Pd. Source: the Alexandria database, functional GGA-PBE.

Structure (POSCAR):
```
PmH8Ir2Pd
1.0
2.4110 1.3920 5.4254
-2.4110 1.3920 5.4254
0.0000 -2.7839 5.4254
Pm H Ir Pd
1 8 2 1
Direct
0.0000 0.0000 0.0000
0.1181 0.4159 0.8071
0.1929 0.8819 0.5841
0.3159 0.3159 0.3159
0.4159 0.8071 0.1181
0.5841 0.1929 0.8819
0.6841 0.6841 0.6841
0.8071 0.1181 0.4159
0.8819 0.5841 0.1929
0.2149 0.2149 0.2149
0.7851 0.7851 0.7851
0.5000 0.5000 0.5000
```

## Properties
**Space-group type**: R-3
**E_tot**: -56.3 eV for the cell shown

9.
A relaxed structure of Ca3Cd2Pd3. Source: the Alexandria database, functional GGA-PBE.

Structure (POSCAR):
```
Ca3Cd2Pd3
1.0
8.5209 0.0000 0.0000
-4.2605 7.3793 0.0000
0.0000 0.0000 5.8345
Ca Cd Pd
6 4 6
Direct
0.0000 0.2727 0.2500
0.0000 0.7273 0.7500
0.2727 0.0000 0.2500
0.2727 0.2727 0.7500
0.7273 0.0000 0.7500
0.7273 0.7273 0.2500
0.3333 0.6667 0.0000
0.3333 0.6667 0.5000
0.6667 0.3333 0.0000
0.6667 0.3333 0.5000
0.0000 0.3961 0.7500
0.0000 0.6039 0.2500
0.3961 0.0000 0.7500
0.3961 0.3961 0.2500
0.6039 0.0000 0.2500
0.6039 0.6039 0.7500
```

## Properties
**Space-group type**: P6_3/mcm
**DFT formation energy**: -0.5596 eV per atom

10.
A relaxed structure of Ac2Tb4Pr5. Source: the Alexandria database, functional GGA-PBE.

Structure (POSCAR):
```
Ac2Tb4Pr5
1.0
6.4053 0.0000 0.0000
-2.1008 8.0141 0.0000
-1.0295 -2.8429 7.7290
Ac Tb Pr
2 4 5
Direct
0.1379 0.0467 0.2303
0.8621 0.9533 0.7697
0.0479 0.6745 0.4097
0.3187 0.7682 0.8613
0.6813 0.2318 0.1387
0.9521 0.3255 0.5903
0.2258 0.4135 0.0453
0.4092 0.1388 0.6842
0.5000 0.5000 0.5000
0.5908 0.8612 0.3158
0.7742 0.5865 0.9547
```

## Properties
**Space-group type**: P-1
**DFT formation energy**: 0.0315 eV per atom

11.
A relaxed structure of K4MnCu. Source: the Alexandria database, functional GGA-PBE.

Structure (POSCAR):
```
K4MnCu
1.0
0.0000 5.2657 5.2657
5.2657 0.0000 5.2657
5.2657 5.2657 0.0000
K Mn Cu
4 1 1
Direct
0.1254 0.1254 0.1254
0.1254 0.1254 0.6238
0.1254 0.6238 0.1254
0.6238 0.1254 0.1254
0.7500 0.7500 0.7500
0.5000 0.5000 0.5000
```

## Properties
**Space-group type**: F-43m
**DFT formation energy**: 0.8830 eV per atom

12.
A relaxed structure of Sm3As6Pd20. Source: the Alexandria database, functional GGA-PBE.

Structure (POSCAR):
```
Sm3As6Pd20
1.0
0.0000 6.3069 6.3069
6.3069 0.0000 6.3069
6.3069 6.3069 0.0000
Sm As Pd
3 6 20
Direct
0.0000 0.0000 0.0000
0.2500 0.2500 0.2500
0.7500 0.7500 0.7500
0.2640 0.2640 0.7360
0.2640 0.7360 0.2640
0.2640 0.7360 0.7360
0.7360 0.2640 0.2640
0.7360 0.2640 0.7360
0.7360 0.7360 0.2640
0.0000 0.0000 0.3491
0.0000 0.0000 0.6509
0.0000 0.3491 0.0000
0.0000 0.3491 0.6509
0.0000 0.6509 0.0000
0.0000 0.6509 0.3491
0.1495 0.6168 0.6168
0.3491 0.0000 0.0000
0.3491 0.0000 0.6509
0.3491 0.6509 0.0000
0.3832 0.3832 0.3832
0.3832 0.3832 0.8505
0.3832 0.8505 0.3832
0.6168 0.1495 0.6168
0.6168 0.6168 0.1495
0.6168 0.6168 0.6168
0.6509 0.0000 0.0000
0.6509 0.0000 0.3491
0.6509 0.3491 0.0000
0.8505 0.3832 0.3832
```

## Properties
**Space-group type**: Fm-3m
**DFT formation energy**: -0.5963 eV per atom